1.
# TmPdNO PBE relaxed
data_TmPdNO
_cell_length_a 4.0777
_cell_length_b 4.2403
_cell_length_c 6.9995
_cell_angle_alpha 90.00
_cell_angle_beta 90.00
_cell_angle_gamma 90.00
_space_group_name_H-M_alt 'P 1'
_space_group_IT_number 1
loop_
_space_group_symop_operation_xyz
'x,y,z'
loop_
_atom_site_label
_atom_site_type_symbol
_atom_site_fract_x
_atom_site_fract_y
_atom_site_fract_z
N1 N 0.0000 0.9377 0.3238
N2 N 0.0000 0.4377 0.6762
O1 O 0.5000 0.4392 0.1248
O2 O 0.5000 0.9392 0.8752
Pd1 Pd 0.0000 0.4378 0.3856
Pd2 Pd 0.0000 0.9378 0.6144
Tm1 Tm 0.5000 0.9393 0.1874
Tm2 Tm 0.5000 0.4393 0.8126
# spin magnetization = 0.0 μB per formula unit
# DFT total energy = -7.06 eV/atom
# symmetry = Pmc2_1

---

2.
# ScHg2PdBr6 PBE relaxed
data_ScHg2PdBr6
_cell_length_a 7.5041
_cell_length_b 7.5041
_cell_length_c 7.5041
_cell_angle_alpha 120.27
_cell_angle_beta 120.27
_cell_angle_gamma 89.53
_space_group_name_H-M_alt 'P 1'
_space_group_IT_number 1
loop_
_space_group_symop_operation_xyz
'x,y,z'
loop_
_atom_site_label
_atom_site_type_symbol
_atom_site_fract_x
_atom_site_fract_y
_atom_site_fract_z
Br1 Br 0.2494 0.2494 0.0000
Br2 Br 0.7500 0.2500 0.0000
Br3 Br 0.2500 0.7500 0.0000
Br4 Br 0.7506 0.7506 0.0000
Br5 Br 0.2500 0.2500 0.5000
Br6 Br 0.7500 0.7500 0.5000
Hg1 Hg 0.7500 0.2500 0.5000
Hg2 Hg 0.2500 0.7500 0.5000
Pd1 Pd 0.5000 0.5000 0.0000
Sc1 Sc 0.0000 0.0000 0.0000
# spin magnetization = 2.0 μB per formula unit
# DFT total energy = -2.77 eV/atom
# symmetry = I4/mmm

---

3.
# BaLiTcOs PBE relaxed
data_BaLiTcOs
_cell_length_a 4.7809
_cell_length_b 4.7809
_cell_length_c 4.7809
_cell_angle_alpha 60.00
_cell_angle_beta 60.00
_cell_angle_gamma 60.00
_space_group_name_H-M_alt 'P 1'
_space_group_IT_number 1
loop_
_space_group_symop_operation_xyz
'x,y,z'
loop_
_atom_site_label
_atom_site_type_symbol
_atom_site_fract_x
_atom_site_fract_y
_atom_site_fract_z
Ba1 Ba 0.0000 0.0000 0.0000
Li1 Li 0.7500 0.7500 0.7500
Os1 Os 0.2500 0.2500 0.2500
Tc1 Tc 0.5000 0.5000 0.5000
# spin magnetization = 0.7 μB per formula unit
# DFT total energy = -5.33 eV/atom
# symmetry = F-43m

---

4.
# YFeCuBi PBE relaxed
data_YFeCuBi
_cell_length_a 4.8947
_cell_length_b 4.8947
_cell_length_c 4.8947
_cell_angle_alpha 60.00
_cell_angle_beta 60.00
_cell_angle_gamma 60.00
_space_group_name_H-M_alt 'P 1'
_space_group_IT_number 1
loop_
_space_group_symop_operation_xyz
'x,y,z'
loop_
_atom_site_label
_atom_site_type_symbol
_atom_site_fract_x
_atom_site_fract_y
_atom_site_fract_z
Bi1 Bi 0.0000 0.0000 0.0000
Cu1 Cu 0.2500 0.2500 0.2500
Fe1 Fe 0.5000 0.5000 0.5000
Y1 Y 0.7500 0.7500 0.7500
# spin magnetization = 2.3 μB per formula unit
# DFT total energy = -5.36 eV/atom
# symmetry = F-43m

---

5.
# Ho2BiIO4 PBE relaxed
data_Ho2BiIO4
_cell_length_a 3.9850
_cell_length_b 3.9850
_cell_length_c 9.3094
_cell_angle_alpha 90.00
_cell_angle_beta 90.00
_cell_angle_gamma 90.00
_space_group_name_H-M_alt 'P 1'
_space_group_IT_number 1
loop_
_space_group_symop_operation_xyz
'x,y,z'
loop_
_atom_site_label
_atom_site_type_symbol
_atom_site_fract_x
_atom_site_fract_y
_atom_site_fract_z
Bi1 Bi 0.5000 0.5000 0.0000
Ho1 Ho 0.0000 0.0000 0.2527
Ho2 Ho 0.0000 0.0000 0.7473
I1 I 0.5000 0.5000 0.5000
O1 O 0.5000 0.0000 0.1596
O2 O 0.0000 0.5000 0.1596
O3 O 0.5000 0.0000 0.8404
O4 O 0.0000 0.5000 0.8404
# spin magnetization = 0.0 μB per formula unit
# DFT total energy = -6.69 eV/atom
# symmetry = P4/mmm

---

6.
# SnB4Os PBE relaxed
data_SnB4Os
_cell_length_a 2.9927
_cell_length_b 2.9927
_cell_length_c 8.6250
_cell_angle_alpha 90.00
_cell_angle_beta 90.00
_cell_angle_gamma 120.00
_space_group_name_H-M_alt 'P 1'
_space_group_IT_number 1
loop_
_space_group_symop_operation_xyz
'x,y,z'
loop_
_atom_site_label
_atom_site_type_symbol
_atom_site_fract_x
_atom_site_fract_y
_atom_site_fract_z
B1 B 0.6667 0.3333 0.1963
B2 B 0.3333 0.6667 0.1963
B3 B 0.6667 0.3333 0.8037
B4 B 0.3333 0.6667 0.8037
Os1 Os 0.0000 0.0000 0.0000
Sn1 Sn 0.0000 0.0000 0.5000
# spin magnetization = 0.0 μB per formula unit
# DFT total energy = -6.50 eV/atom
# symmetry = P6/mmm

---

7.
# GdInPO PBE relaxed
data_GdInPO
_cell_length_a 5.6605
_cell_length_b 5.6605
_cell_length_c 4.9667
_cell_angle_alpha 90.00
_cell_angle_beta 90.00
_cell_angle_gamma 90.00
_space_group_name_H-M_alt 'P 1'
_space_group_IT_number 1
loop_
_space_group_symop_operation_xyz
'x,y,z'
loop_
_atom_site_label
_atom_site_type_symbol
_atom_site_fract_x
_atom_site_fract_y
_atom_site_fract_z
Gd1 Gd 0.0000 0.0000 0.5000
Gd2 Gd 0.5000 0.5000 0.5000
In1 In 0.0000 0.5000 0.0041
In2 In 0.5000 0.0000 0.9959
O1 O 0.0000 0.0000 0.0000
O2 O 0.5000 0.5000 0.0000
P1 P 0.5000 0.0000 0.4954
P2 P 0.0000 0.5000 0.5046
# spin magnetization = 0.0 μB per formula unit
# DFT total energy = -5.69 eV/atom
# symmetry = P4/nmm

---

8.
# Ac2Ga7Au PBE relaxed
data_Ac2Ga7Au
_cell_length_a 4.5798
_cell_length_b 4.5798
_cell_length_c 10.4814
_cell_angle_alpha 90.00
_cell_angle_beta 90.00
_cell_angle_gamma 90.00
_space_group_name_H-M_alt 'P 1'
_space_group_IT_number 1
loop_
_space_group_symop_operation_xyz
'x,y,z'
loop_
_atom_site_label
_atom_site_type_symbol
_atom_site_fract_x
_atom_site_fract_y
_atom_site_fract_z
Ac1 Ac 0.0000 0.5000 0.2474
Ac2 Ac 0.5000 0.0000 0.7526
Au1 Au 0.5000 0.5000 0.0000
Ga1 Ga 0.0000 0.0000 0.0000
Ga2 Ga 0.5000 0.0000 0.1285
Ga3 Ga 0.5000 0.0000 0.3714
Ga4 Ga 0.0000 0.0000 0.5000
Ga5 Ga 0.5000 0.5000 0.5000
Ga6 Ga 0.0000 0.5000 0.6286
Ga7 Ga 0.0000 0.5000 0.8715
# spin magnetization = 0.0 μB per formula unit
# DFT total energy = -3.82 eV/atom
# symmetry = P-4m2

---

9.
# ErSnTe2AuS PBE relaxed
data_ErSnTe2AuS
_cell_length_a 7.5941
_cell_length_b 7.5941
_cell_length_c 10.2149
_cell_angle_alpha 90.00
_cell_angle_beta 90.00
_cell_angle_gamma 147.43
_space_group_name_H-M_alt 'P 1'
_space_group_IT_number 1
loop_
_space_group_symop_operation_xyz
'x,y,z'
loop_
_atom_site_label
_atom_site_type_symbol
_atom_site_fract_x
_atom_site_fract_y
_atom_site_fract_z
Au1 Au 0.5197 0.4803 0.2500
Au2 Au 0.4803 0.5197 0.7500
Er1 Er 0.0000 0.0000 0.0000
Er2 Er 0.0000 0.0000 0.5000
S1 S 0.9185 0.0815 0.2500
S2 S 0.0815 0.9185 0.7500
Sn1 Sn 0.2730 0.7270 0.2500
Sn2 Sn 0.7270 0.2730 0.7500
Te1 Te 0.6516 0.3484 0.0558
Te2 Te 0.6516 0.3484 0.4442
Te3 Te 0.3484 0.6516 0.5558
Te4 Te 0.3484 0.6516 0.9442
# spin magnetization = 0.0 μB per formula unit
# DFT total energy = -4.42 eV/atom
# symmetry = Cmcm

---

10.
# Rb2IrSe3 PBE relaxed
data_Rb2IrSe3
_cell_length_a 7.6796
_cell_length_b 7.6796
_cell_length_c 10.0959
_cell_angle_alpha 118.49
_cell_angle_beta 118.49
_cell_angle_gamma 54.32
_space_group_name_H-M_alt 'P 1'
_space_group_IT_number 1
loop_
_space_group_symop_operation_xyz
'x,y,z'
loop_
_atom_site_label
_atom_site_type_symbol
_atom_site_fract_x
_atom_site_fract_y
_atom_site_fract_z
Ir1 Ir 0.8987 0.8987 0.3385
Ir2 Ir 0.1013 0.1013 0.6615
Rb1 Rb 0.4088 0.4088 0.1210
Rb2 Rb 0.1947 0.1947 0.3172
Rb3 Rb 0.8053 0.8053 0.6828
Rb4 Rb 0.5912 0.5912 0.8790
Se1 Se 0.8886 0.8886 0.0971
Se2 Se 0.7049 0.7049 0.2795
Se3 Se 0.7272 0.2728 0.5000
Se4 Se 0.2728 0.7272 0.5000
Se5 Se 0.2951 0.2951 0.7205
Se6 Se 0.1114 0.1114 0.9029
# spin magnetization = 0.0 μB per formula unit
# DFT total energy = -4.11 eV/atom
# symmetry = C2/m

---

11.
# YAgPbS3 PBE relaxed
data_YAgPbS3
_cell_length_a 11.8896
_cell_length_b 4.0879
_cell_length_c 11.7189
_cell_angle_alpha 90.00
_cell_angle_beta 90.00
_cell_angle_gamma 90.00
_space_group_name_H-M_alt 'P 1'
_space_group_IT_number 1
loop_
_space_group_symop_operation_xyz
'x,y,z'
loop_
_atom_site_label
_atom_site_type_symbol
_atom_site_fract_x
_atom_site_fract_y
_atom_site_fract_z
Ag1 Ag 0.7431 0.2500 0.1845
Ag2 Ag 0.2431 0.2500 0.3155
Ag3 Ag 0.7569 0.7500 0.6845
Ag4 Ag 0.2569 0.7500 0.8155
Pb1 Pb 0.3368 0.2500 0.0216
Pb2 Pb 0.8368 0.2500 0.4784
Pb3 Pb 0.1632 0.7500 0.5216
Pb4 Pb 0.6632 0.7500 0.9784
S1 S 0.9132 0.2500 0.0662
S2 S 0.5319 0.2500 0.1596
S3 S 0.2572 0.7500 0.1722
S4 S 0.7572 0.7500 0.3278
S5 S 0.0319 0.2500 0.3404
S6 S 0.4132 0.2500 0.4338
S7 S 0.5868 0.7500 0.5662
S8 S 0.9681 0.7500 0.6596
S9 S 0.2428 0.2500 0.6722
S10 S 0.7428 0.2500 0.8278
S11 S 0.4681 0.7500 0.8404
S12 S 0.0868 0.7500 0.9338
Y1 Y 0.0265 0.7500 0.1682
Y2 Y 0.5265 0.7500 0.3318
Y3 Y 0.4735 0.2500 0.6682
Y4 Y 0.9735 0.2500 0.8318
# spin magnetization = 0.0 μB per formula unit
# DFT total energy = -5.23 eV/atom
# symmetry = Pnma

---

12.
# Sm2Si PBE relaxed
data_Sm2Si
_cell_length_a 6.1200
_cell_length_b 6.1200
_cell_length_c 6.1200
_cell_angle_alpha 60.00
_cell_angle_beta 60.00
_cell_angle_gamma 60.00
_space_group_name_H-M_alt 'P 1'
_space_group_IT_number 1
loop_
_space_group_symop_operation_xyz
'x,y,z'
loop_
_atom_site_label
_atom_site_type_symbol
_atom_site_fract_x
_atom_site_fract_y
_atom_site_fract_z
Si1 Si 0.0000 0.0000 0.0000
Si2 Si 0.2500 0.2500 0.2500
Sm1 Sm 0.6250 0.6250 0.1250
Sm2 Sm 0.6250 0.1250 0.6250
Sm3 Sm 0.1250 0.6250 0.6250
Sm4 Sm 0.6250 0.6250 0.6250
# spin magnetization = 0.0 μB per formula unit
# DFT total energy = -4.48 eV/atom
# symmetry = Fd-3m